# KGaTe3

A relaxed KGaTe3 crystal (PBE-GGA, Alexandria via LeMat-Bulk).

Lattice parameters (Å, degrees): 8.014 7.468 7.924 88.07 117.31 105.60
Fractional coordinates of all 10 atoms:
1 K 0.314 0.995 0.431
2 K 0.637 0.382 0.044
3 Ga 0.992 0.035 0.806
4 Ga 0.091 0.551 0.795
5 Te 0.095 0.318 0.056
6 Te 0.894 0.123 0.449
7 Te 0.296 0.897 0.951
8 Te 0.673 0.766 0.764
9 Te 0.221 0.439 0.574
10 Te 0.714 0.503 0.551

Summary:
Raw formation energy ... -0.543 eV per atom
Calculated total energy ... -3.253 eV/atom
E above lowest polymorph ... 0.0000 eV per atom
Total moment ... 0.0 μB per cell
V ... 201.8 Å³/f.u.

---

# Al2InSn2Au7

A relaxed Al2InSn2Au7 crystal (PBE-GGA, Alexandria via LeMat-Bulk).

Lattice parameters (Å, degrees): 4.656 4.656 11.665 86.85 86.85 76.38
Fractional coordinates of all 12 atoms:
1 Al 0.520 0.520 0.730
2 Al 0.480 0.480 0.270
3 In 0.000 0.000 0.000
4 Sn 0.982 0.982 0.354
5 Sn 0.018 0.018 0.646
6 Au 0.500 0.500 0.000
7 Au 0.317 0.317 0.472
8 Au 0.683 0.683 0.528
9 Au 0.988 0.488 0.166
10 Au 0.488 0.988 0.166
11 Au 0.512 0.012 0.834
12 Au 0.012 0.512 0.834

Summary:
D(E_F) ... 4.34 states/eV/f.u.
Calculated total energy ... -3.590 eV/atom
Formation energy from the elements ... -0.159 eV per atom
Total moment ... 0.0 μB per cell
V ... 245.2 Å³/f.u.